A plane-wave DFT calculation with PBE was carried out for a geometry-optimized La7Pm2Ho2 structure.

a b c (Å): 8.2218 8.2218 6.2295
angles (deg): 105.05 105.05 90.04
Closest atoms and distances in Å follow each position.
Positions (direct):
La (0.0000, 0.0000, 0.0000)  4 La 3.37, 2 Pm 3.67
La (0.0468, 0.5832, 0.8189)  2 La 3.17-3.37, 1 Pm 3.42, 2 Ho 3.43-3.52
La (0.4168, 0.9532, 0.1811)  2 La 3.17-3.37, 1 Pm 3.42, 2 Ho 3.43-3.52
La (0.4255, 0.4255, 0.1988)  6 La 3.50-3.86, 2 Pm 3.63-3.77, 2 Ho 3.77
La (0.5745, 0.5745, 0.8012)  6 La 3.50-3.86, 2 Pm 3.63-3.77, 2 Ho 3.77
La (0.5832, 0.0468, 0.8189)  2 La 3.17-3.37, 1 Pm 3.42, 2 Ho 3.43-3.52
La (0.9532, 0.4168, 0.1811)  2 La 3.17-3.37, 1 Pm 3.42, 2 Ho 3.43-3.52
Pm (0.2265, 0.2265, 0.5933)  7 La 3.42-3.77, 2 Ho 3.51
Pm (0.7735, 0.7735, 0.4067)  7 La 3.42-3.77, 2 Ho 3.51
Ho (0.2135, 0.7865, 0.5000)  6 La 3.43-3.77, 2 Pm 3.51
Ho (0.7865, 0.2135, 0.5000)  6 La 3.43-3.77, 2 Pm 3.51

Values from the calculation:
**Theoretical density**: 6751 kg/m3
**Spin magnetization**: 0.00 μB/atom
**Offset from the most stable computed form**: 0 meV per atom
**ΔH_f (0 K)**: 0.11 eV per atom
**VASP energy**: -4.72 eV/atom

A plane-wave DFT calculation with PBE was carried out for a geometry-optimized La2Pm4Ho3 structure.

a b c (Å): 3.6445 3.6445 40.7913
angles (deg): 90.00 90.00 120.00
Closest atoms and distances in Å follow each position.
Positions (direct):
La (0.0000, 0.0000, 0.0000)  3 Ho 3.63, 6 La 3.64, 3 Pm 3.74
La (0.0000, 0.0000, 0.1414)  3 Ho 3.51, 6 La 3.64
Pm (0.0000, 0.0000, 0.5709)  3 Ho 3.49, 6 Pm 3.64
Pm (0.0000, 0.0000, 0.7103)  3 Ho 3.59, 9 Pm 3.64-3.65
Pm (0.3333, 0.6667, 0.7835)  3 Ho 3.57, 9 Pm 3.64-3.65
Pm (0.3333, 0.6667, 0.9241)  3 Ho 3.54, 6 Pm 3.64, 3 La 3.74
Ho (0.0000, 0.0000, 0.8542)  6 Pm 3.54-3.57, 6 Ho 3.64
Ho (0.3333, 0.6667, 0.0725)  6 La 3.51-3.63, 6 Ho 3.64
Ho (0.3333, 0.6667, 0.6390)  6 Pm 3.49-3.59, 6 Ho 3.64

Values from the calculation:
**Theoretical density**: 4787 kg/m3
**Spin magnetization**: 0.00 μB/atom
**Offset from the most stable computed form**: 69 meV per atom
**ΔH_f (0 K)**: 0.15 eV per atom
**VASP energy**: -4.59 eV/atom

What is the ΔH_f (0 K) in the second record?
0.15 eV per atom